No. 1
VASP calculation (GGA-PBE) on a geometry-optimized TaV4P2 structure.

a b c (Å): 7.7405 7.7405 3.2198
angles (deg): 90.00 90.00 90.00
Space group P4_2/mnm (No. 136)
Symmetry-distinct sites (fractional):
Ta 0.0000 0.0000 0.0000 x2
V 0.0879 0.3296 0.5000 x8
P 0.1874 0.8126 0.5000 x4

## Properties
Uncorrected energy: -9.02 eV/atom
Density: 7.7 g cm⁻³

No. 2
VASP calculation (GGA-PBE) on a geometry-optimized Fe2Cu2Ni15 structure.

a b c (Å): 8.0474 8.0474 12.1708
angles (deg): 90.00 90.00 120.00
Space group R-3m (No. 166, hexagonal axes)
Symmetry-distinct sites (fractional):
Fe 0.0000 0.0000 0.1097 x6
Cu 0.0000 0.0000 0.4017 x6
Ni 0.0000 0.3256 0.5000 x18
Ni 0.0000 0.5000 0.0000 x9
Ni 0.0048 0.5024 0.6629 x18

## Properties
Uncorrected energy: -5.70 eV/atom
E above lowest polymorph: 7.4 meV per atom
Density: 8.2 g cm⁻³

No. 3
VASP calculation (GGA-PBE) on a geometry-optimized V4Mo3Ru structure.

a b c (Å): 3.0466 4.3303 8.6662
angles (deg): 90.00 90.00 90.00
Space group Pmmm (No. 47)
Symmetry-distinct sites (fractional):
V 0.0000 0.0000 0.0000 x1
V 0.0000 0.0000 0.5000 x1
V 0.0000 0.5000 0.2482 x2
Mo 0.5000 0.0000 0.2463 x2
Mo 0.5000 0.5000 0.5000 x1
Ru 0.5000 0.5000 0.0000 x1

## Properties
Uncorrected energy: -9.99 eV/atom
Density: 8.6 g cm⁻³

No. 4
VASP calculation (GGA-PBE) on a geometry-optimized SrCd3Ge structure.

a b c (Å): 6.2029 6.2029 6.2029
angles (deg): 90.00 90.00 90.00
Space group Pm-3m (No. 221)
Symmetry-distinct sites (fractional):
Sr 0.0000 0.0000 0.0000 x1
Cd 0.0000 0.0000 0.5000 x3
Ge 0.5000 0.5000 0.5000 x1

## Properties
Uncorrected energy: -0.87 eV/atom
E above lowest polymorph: 1208.2 meV per atom
Density: 3.5 g cm⁻³